[1]
DFT (PBE) results for a geometry-optimized YLu3Mn structure.

Summary:
Volume ... 28.0 Å³/atom
Total magnetization ... 0.58 μB/f.u.
DFT formation energy ... 202 meV/atom
DOS at the Fermi energy ... 7.75 states/eV/cell

abc: 5.191 5.191 5.191
angles: 90.00 90.00 90.00
Space group Pm-3m (No. 221)
Asymmetric unit:
Y: 0.000 0.000 0.000 (multiplicity 1)
Lu: 0.000 0.500 0.500 (multiplicity 3)
Mn: 0.500 0.500 0.500 (multiplicity 1)

---

[2]
DFT (PBE) results for a geometry-optimized AlGa2Ru3 structure.

Summary:
Volume ... 13.8 Å³/atom
Total magnetization ... 0.00 μB/f.u.
DFT formation energy ... -426 meV/atom
DOS at the Fermi energy ... 12.50 states/eV/cell

abc: 4.271 12.828 3.022
angles: 90.00 90.00 90.00
Space group Cmmm (No. 65)
Asymmetric unit:
Al: 0.000 0.000 0.000 (multiplicity 2)
Ga: 0.000 0.335 0.000 (multiplicity 4)
Ru: 0.000 0.168 0.500 (multiplicity 4)
Ru: 0.000 0.500 0.500 (multiplicity 2)

---

[3]
DFT (PBE) results for a geometry-optimized Hf2NbCo structure.

Summary:
Volume ... 19.0 Å³/atom
Total magnetization ... 0.00 μB/f.u.
DFT formation energy ... 256 meV/atom
DOS at the Fermi energy ... 12.58 states/eV/cell

abc: 7.292 7.292 5.704
angles: 90.00 90.00 90.00
Space group I-42d (No. 122)
Asymmetric unit:
Hf: 0.202 0.250 0.125 (multiplicity 8)
Nb: 0.000 0.000 0.500 (multiplicity 4)
Co: 0.000 0.000 0.000 (multiplicity 4)

---

[4]
DFT (PBE) results for a geometry-optimized Tc2CS structure.

Summary:
Formation energy (no corrections) ... 0.601 eV per atom
Volume ... 11.4 Å³/atom
Total magnetization ... 0.00 μB/f.u.
DOS at the Fermi energy ... 10.08 states/eV/cell

abc: 5.663 5.663 5.663
angles: 90.00 90.00 90.00
Space group Fm-3m (No. 225)
Asymmetric unit:
Tc: 0.250 0.250 0.250 (multiplicity 8)
C: 0.000 0.000 0.000 (multiplicity 4)
S: 0.000 0.000 0.500 (multiplicity 4)

---

[5]
DFT (PBE) results for a geometry-optimized Pr4DyY5 structure.

Summary:
Volume ... 35.1 Å³/atom
Total magnetization ... 0.00 μB/f.u.
DFT formation energy ... 187 meV/atom
DOS at the Fermi energy ... 14.52 states/eV/cell

abc: 3.566 8.888 11.311
angles: 89.89 90.00 78.45
Space group P-1 (No. 2)
Asymmetric unit:
Pr: 0.031 0.439 0.249 (multiplicity 2)
Pr: 0.346 0.811 0.250 (multiplicity 2)
Dy: 0.500 0.500 0.000 (multiplicity 1)
Y: 0.173 0.152 0.445 (multiplicity 2)
Y: 0.173 0.153 0.054 (multiplicity 2)
Y: 0.500 0.500 0.500 (multiplicity 1)

---

[6]
DFT (PBE) results for a geometry-optimized Cd2PtPb2 structure.

Summary:
Volume ... 25.1 Å³/atom
Total magnetization ... 0.00 μB/f.u.
DFT formation energy ... 66 meV/atom
DOS at the Fermi energy ... 2.80 states/eV/cell

abc: 7.182 7.182 4.870
angles: 90.00 90.00 90.00
Space group P4/mbm (No. 127)
Asymmetric unit:
Cd: 0.144 0.356 0.000 (multiplicity 4)
Pt: 0.000 0.000 0.000 (multiplicity 2)
Pb: 0.174 0.674 0.500 (multiplicity 4)